*a*
5
Lattice="-2.596 -4.685 0.456 0.817 -0.961 -5.225 4.635 -2.454 1.176" Properties=species:S:1:pos:R:3 comment="MoPb3Au PBE-GGA optimized geometry" magnetic_moment_mub_per_fu=0.66 pbc="T T T"
Pb 2.318 -1.227 0.588
Pb -1.298 -2.342 0.228
Pb 0.409 -0.480 -2.613
Au 1.429 -4.050 -1.797
Mo 0.000 0.000 0.000


*b*
5
Lattice="-1.597 -0.036 5.274 4.197 -3.347 1.248 3.195 4.379 0.997" Properties=species:S:1:pos:R:3 comment="MoPb3Au PBE-GGA optimized geometry" magnetic_moment_mub_per_fu=4.32 pbc="T T T"
Pb -0.799 -0.018 2.637
Pb 2.099 -1.673 0.624
Pb 1.597 2.189 0.499
Au 0.000 0.000 0.000
Mo 2.897 0.498 3.760


*a* is favored, and the nearest alternative lies 521 meV per atom above it.


*a*
5
Lattice="4.771 0.000 0.000 0.000 4.771 0.000 0.000 0.000 4.771" Properties=species:S:1:pos:R:3 comment="MoPd3Au PBE-GGA optimized geometry" magnetic_moment_mub_per_fu=0.00 pbc="T T T"
Pd 0.000 2.385 0.000
Pd 2.385 0.000 0.000
Pd 0.000 0.000 2.385
Au 2.385 2.385 2.385
Mo 0.000 0.000 0.000


*b*
10
Lattice="4.448 0.000 -1.005 -0.041 4.856 -0.183 -0.619 0.224 7.605" Properties=species:S:1:pos:R:3 comment="MoPd3Au PBE-GGA optimized geometry" magnetic_moment_mub_per_fu=0.00 pbc="T T T"
Pd 3.313 1.677 4.319
Pd 0.191 1.004 0.847
Pd 0.474 3.403 2.097
Pd 1.069 3.490 4.734
Pd 2.718 1.590 1.683
Pd 3.596 4.076 5.569
Mo 2.995 4.072 2.911
Mo 0.792 1.008 3.506
Au 2.355 3.757 0.080
Au 1.432 1.323 6.337


*c*
5
Lattice="4.917 0.000 0.000 0.000 4.917 0.000 0.000 0.000 4.917" Properties=species:S:1:pos:R:3 comment="MoPd3Au PBE-GGA optimized geometry" magnetic_moment_mub_per_fu=4.12 pbc="T T T"
Pd 0.000 2.458 0.000
Pd 0.000 0.000 2.458
Pd 2.458 0.000 0.000
Mo 2.458 2.458 2.458
Au 0.000 0.000 0.000


*b* is favored, and the nearest alternative lies 1130 meV per atom above it.


*a*
8
Lattice="7.168 0.000 0.000 0.000 7.168 0.000 3.584 3.584 2.756" Properties=species:S:1:pos:R:3 comment="MoPd2Au PBE-GGA optimized geometry" magnetic_moment_mub_per_fu=0.00 pbc="T T T"
Au 7.168 3.584 1.378
Au 0.000 0.000 0.000
Mo 3.584 3.584 0.000
Mo 3.584 7.168 1.378
Pd 5.212 1.792 0.689
Pd 5.376 5.540 2.067
Pd 8.961 8.797 2.067
Pd 1.956 5.376 0.689


*b*
4
Lattice="-0.475 0.233 2.776 -0.809 -2.260 1.490 8.477 -2.744 3.119" Properties=species:S:1:pos:R:3 comment="MoPd2Au PBE-GGA optimized geometry" magnetic_moment_mub_per_fu=0.00 pbc="T T T"
Mo 3.597 -2.385 3.692
Pd 5.286 -3.553 5.517
Pd 1.908 -1.218 1.867
Au 0.000 0.000 0.000


*c*
4
Lattice="-1.974 -3.586 -1.864 -4.487 -0.307 -0.084 -2.211 0.420 -3.895" Properties=species:S:1:pos:R:3 comment="MoPd2Au PBE-GGA optimized geometry" magnetic_moment_mub_per_fu=0.00 pbc="T T T"
Pd -6.504 -2.605 -4.382
Pd -2.168 -0.868 -1.461
Au -4.336 -1.737 -2.921
Mo 0.000 0.000 0.000


*d*
4
Lattice="-2.473 -0.026 1.413 -1.209 -2.472 0.734 3.327 -0.695 8.699" Properties=species:S:1:pos:R:3 comment="MoPd2Au PBE-GGA optimized geometry" magnetic_moment_mub_per_fu=0.00 pbc="T T T"
Pd -0.023 -0.797 2.830
Pd 2.122 -0.732 6.589
Au 0.868 -2.362 10.130
Mo -0.172 -1.593 5.420


*d* is favored, and the nearest alternative lies 19 meV per atom above it.


*a*
4
Lattice="4.457 -0.232 0.901 1.488 -2.507 3.498 2.281 -3.863 -0.775" Properties=species:S:1:pos:R:3 comment="MoPdAu2 PBE-GGA optimized geometry" magnetic_moment_mub_per_fu=0.00 pbc="T T T"
Au 2.056 -1.650 0.906
Au 6.169 -4.951 2.718
Pd 4.113 -3.301 1.812
Mo 0.000 0.000 0.000


*b*
8
Lattice="-2.294 0.185 -7.028 -0.497 -7.378 -0.032 -3.969 -3.427 -2.685" Properties=species:S:1:pos:R:3 comment="MoPdAu2 PBE-GGA optimized geometry" magnetic_moment_mub_per_fu=2.04 pbc="T T T"
Au -1.600 -5.444 -1.601
Au -4.026 -5.301 -4.661
Au -5.417 -8.831 -8.191
Au -2.478 -1.664 -5.036
Mo -1.396 -3.597 -3.530
Mo -2.931 -7.201 -3.123
Pd -3.829 -3.419 -6.622
Pd 0.000 0.000 0.000


*a* is favored, and the nearest alternative lies 421 meV per atom above it.


*a*
8
Lattice="7.291 0.000 0.000 0.000 7.291 0.000 3.646 3.646 2.631" Properties=species:S:1:pos:R:3 comment="Mo2PdAu PBE-GGA optimized geometry" magnetic_moment_mub_per_fu=0.00 pbc="T T T"
Pd 3.646 7.291 1.316
Pd 3.646 3.646 0.000
Au 7.291 3.646 1.316
Au 0.000 0.000 0.000
Mo 5.374 1.823 0.658
Mo 1.917 5.468 0.658
Mo 9.114 9.020 1.973
Mo 5.468 5.562 1.973


*b*
4
Lattice="0.000 3.203 3.203 3.203 0.000 3.203 3.203 3.203 0.000" Properties=species:S:1:pos:R:3 comment="Mo2PdAu PBE-GGA optimized geometry" magnetic_moment_mub_per_fu=0.00 pbc="T T T"
Pd 0.000 0.000 0.000
Mo 4.804 4.804 4.804
Mo 1.601 1.601 1.601
Au 3.203 3.203 3.203


*b* is favored, and the nearest alternative lies 160 meV per atom above it.


*a*
5
Lattice="-0.841 3.556 3.103 1.416 -2.814 3.609 4.502 1.551 -0.556" Properties=species:S:1:pos:R:3 comment="ReMo2PdAu PBE-GGA optimized geometry" magnetic_moment_mub_per_fu=0.01 pbc="T T T"
Au 0.000 0.000 0.000
Re 0.708 -1.407 1.804
Pd 2.538 1.146 3.078
Mo 2.251 0.775 -0.278
Mo -0.421 1.778 1.551


*b*
5
Lattice="4.756 0.000 0.000 0.000 4.718 0.000 0.000 0.000 4.756" Properties=species:S:1:pos:R:3 comment="ReMo2PdAu PBE-GGA optimized geometry" magnetic_moment_mub_per_fu=0.00 pbc="T T T"
Au 0.000 0.000 0.000
Pd 0.000 2.359 0.000
Mo 2.378 0.000 0.000
Mo 0.000 0.000 2.378
Re 2.378 2.359 2.378


*b* is favored, and the nearest alternative lies 17 meV per atom above it.


*a*
4
Lattice="-0.159 2.392 -1.388 -0.914 -1.358 -2.234 -7.991 1.009 2.655" Properties=species:S:1:pos:R:3 comment="Mo2PtAu PBE-GGA optimized geometry" magnetic_moment_mub_per_fu=0.00 pbc="T T T"
Mo -0.010 0.001 0.003
Mo -2.640 0.782 -1.112
Pt -3.866 0.488 1.285
Au -6.543 1.275 0.185


*b*
4
Lattice="-2.018 4.456 -0.335 -2.920 3.378 2.027 3.526 2.566 2.518" Properties=species:S:1:pos:R:3 comment="Mo2PtAu PBE-GGA optimized geometry" magnetic_moment_mub_per_fu=0.00 pbc="T T T"
Pt -0.626 5.171 2.123
Mo -1.096 7.808 3.148
Mo 3.504 2.581 2.517
Au -0.376 2.605 1.046


*c*
4
Lattice="-1.595 -3.788 1.922 -3.049 0.266 3.350 -4.291 -1.281 -0.731" Properties=species:S:1:pos:R:3 comment="Mo2PtAu PBE-GGA optimized geometry" magnetic_moment_mub_per_fu=0.00 pbc="T T T"
Au -4.467 -2.402 2.271
Mo -6.701 -3.602 3.406
Mo -2.234 -1.201 1.135
Pt 0.000 0.000 0.000


*a* is favored, and the nearest alternative lies 44 meV per atom above it.


*a*
4
Lattice="5.000 -0.125 0.069 4.137 2.811 0.069 0.874 0.257 4.493" Properties=species:S:1:pos:R:3 comment="Mo2PtAu PBE-GGA optimized geometry" magnetic_moment_mub_per_fu=0.00 pbc="T T T"
Mo 5.003 1.471 2.423
Mo 0.877 0.258 4.384
Au 2.503 0.736 1.158
Pt 7.509 2.207 3.473


*b*
8
Lattice="7.322 0.000 0.000 0.000 7.322 0.000 3.661 3.661 2.652" Properties=species:S:1:pos:R:3 comment="Mo2PtAu PBE-GGA optimized geometry" magnetic_moment_mub_per_fu=0.00 pbc="T T T"
Mo 5.492 5.658 1.989
Mo 1.996 5.492 0.663
Mo 5.326 1.831 0.663
Mo 9.153 8.987 1.989
Pt 3.661 3.661 0.000
Pt 3.661 7.322 1.326
Au 7.322 3.661 1.326
Au 0.000 0.000 0.000


*a* is favored, and the nearest alternative lies 436 meV per atom above it.


*a*
4
Lattice="3.890 0.000 0.000 0.000 3.888 0.000 0.000 0.000 4.233" Properties=species:S:1:pos:R:3 comment="Mo2PtAu PBE-GGA optimized geometry" magnetic_moment_mub_per_fu=0.00 pbc="T T T"
Pt 1.945 0.000 2.117
Au 0.000 1.944 2.117
Mo 1.945 1.944 0.000
Mo 0.000 0.000 0.000


*b*
4
Lattice="-4.259 -0.738 8.552 -5.913 -2.495 7.114 -3.509 -3.426 8.231" Properties=species:S:1:pos:R:3 comment="Mo2PtAu PBE-GGA optimized geometry" magnetic_moment_mub_per_fu=0.00 pbc="T T T"
Mo -13.653 -6.646 23.847
Mo -6.869 -3.344 11.999
Au -10.261 -4.995 17.923
Pt -3.420 -1.665 5.974


*c*
4
Lattice="-5.000 3.479 -0.755 -0.558 -4.945 0.849 -1.468 0.554 2.257" Properties=species:S:1:pos:R:3 comment="Mo2PtAu PBE-GGA optimized geometry" magnetic_moment_mub_per_fu=0.00 pbc="T T T"
Mo 0.000 0.000 0.000
Mo -3.234 2.016 0.751
Pt -1.013 -2.196 1.553
Au -2.779 -0.733 0.047


*c* is favored, and the nearest alternative lies 26 meV per atom above it.


*a*
4
Lattice="-4.618 1.366 0.727 -1.469 -1.824 4.270 3.941 2.604 -1.188" Properties=species:S:1:pos:R:3 comment="Mo2PtAu PBE-GGA optimized geometry" magnetic_moment_mub_per_fu=0.00 pbc="T T T"
Pt -3.043 -0.229 2.498
Au -0.282 0.276 2.787
Mo -1.879 1.869 1.034
Mo -6.073 -0.457 4.986


*b*
4
Lattice="2.926 0.000 0.000 0.000 4.683 0.044 0.000 3.166 4.740" Properties=species:S:1:pos:R:3 comment="Mo2PtAu PBE-GGA optimized geometry" magnetic_moment_mub_per_fu=0.00 pbc="T T T"
Mo 1.463 2.342 0.022
Mo 0.000 0.000 0.000
Pt 1.463 3.925 2.392
Au 0.000 1.583 2.370


*c*
4
Lattice="4.565 0.000 0.000 0.000 2.776 0.003 0.000 -0.004 5.040" Properties=species:S:1:pos:R:3 comment="Mo2PtAu PBE-GGA optimized geometry" magnetic_moment_mub_per_fu=0.00 pbc="T T T"
Mo 0.000 0.343 4.910
Mo 2.282 0.347 1.423
Pt 0.000 1.733 2.331
Au 2.282 1.733 3.939


*d*
4
Lattice="-1.488 4.796 -0.595 -2.640 1.852 3.895 4.394 -2.455 -0.486" Properties=species:S:1:pos:R:3 comment="Mo2PtAu PBE-GGA optimized geometry" magnetic_moment_mub_per_fu=0.00 pbc="T T T"
Au -0.155 1.361 2.529
Mo -2.064 3.324 1.650
Mo -4.128 6.648 3.299
Pt 0.421 2.833 0.284


*c* is favored, and the nearest alternative lies 83 meV per atom above it.